*i*
{
  "formula": "SrZr3Sb",
  "functional": "PBE",
  "state": "relaxed",
  "m_tot_mub_per_fu": 1.2,
  "cell": [[5.158, 0.000, 0.000], [0.000, 5.158, 0.000], [0.000, 0.000, 5.158]],
  "species": ["Sr", "Zr", "Zr", "Zr", "Sb"],
  "fractional_positions": [[0.000, 0.000, 0.000], [0.000, 0.000, 0.500], [0.000, 0.500, 0.000], [0.500, 0.000, 0.000], [0.500, 0.500, 0.500]]
}

***

*ii*
{
  "formula": "SrZr3Sb",
  "functional": "PBE",
  "state": "relaxed",
  "m_tot_mub_per_fu": 0.0,
  "cell": [[5.448, 0.000, 0.000], [0.000, 5.448, 0.000], [0.000, 0.000, 5.448]],
  "species": ["Sr", "Zr", "Zr", "Zr", "Sb"],
  "fractional_positions": [[0.000, 0.000, 0.000], [0.000, 0.500, 0.500], [0.500, 0.000, 0.500], [0.500, 0.500, 0.000], [0.500, 0.500, 0.500]]
}

***

We find *ii* to be the most stable, with the next structure 1181 meV per atom higher.

***

*i*
{
  "formula": "TaSb3",
  "functional": "PBE",
  "state": "relaxed",
  "m_tot_mub_per_fu": 0.0,
  "cell": [[3.518, -5.866, 0.000], [3.518, 5.866, 0.000], [0.000, 0.000, 4.970]],
  "species": ["Ta", "Ta", "Sb", "Sb", "Sb", "Sb", "Sb", "Sb"],
  "fractional_positions": [[0.073, 0.927, 0.750], [0.927, 0.073, 0.250], [0.071, 0.347, 0.750], [0.347, 0.071, 0.250], [0.421, 0.579, 0.250], [0.579, 0.421, 0.750], [0.653, 0.929, 0.750], [0.929, 0.653, 0.250]]
}

***

*ii*
{
  "formula": "TaSb3",
  "functional": "PBE",
  "state": "relaxed",
  "m_tot_mub_per_fu": 0.0,
  "cell": [[3.536, 0.000, 0.000], [0.000, 3.536, 0.000], [0.000, 0.000, 7.511]],
  "species": ["Ta", "Sb", "Sb", "Sb"],
  "fractional_positions": [[0.000, 0.000, 0.000], [0.000, 0.000, 0.500], [0.500, 0.500, 0.209], [0.500, 0.500, 0.791]]
}

***

We find *ii* to be the most stable, with the next structure 162 meV per atom higher.

***

*i*
{
  "formula": "TaSb3",
  "functional": "PBE",
  "state": "relaxed",
  "m_tot_mub_per_fu": 0.0,
  "cell": [[5.177, 0.000, 0.000], [0.000, 5.177, 0.000], [0.000, 0.000, 3.487]],
  "species": ["Ta", "Sb", "Sb", "Sb"],
  "fractional_positions": [[0.000, 0.000, 0.000], [0.000, 0.500, 0.500], [0.500, 0.000, 0.500], [0.500, 0.500, 0.000]]
}

***

*ii*
{
  "formula": "TaSb3",
  "functional": "PBE",
  "state": "relaxed",
  "m_tot_mub_per_fu": 0.0,
  "cell": [[1.690, 0.976, 9.850], [-1.690, 0.976, 9.850], [0.000, -1.951, 9.850]],
  "species": ["Ta", "Sb", "Sb", "Sb"],
  "fractional_positions": [[0.000, 0.000, 0.000], [0.262, 0.262, 0.262], [0.500, 0.500, 0.500], [0.738, 0.738, 0.738]]
}

***

*iii*
{
  "formula": "TaSb3",
  "functional": "PBE",
  "state": "relaxed",
  "m_tot_mub_per_fu": 0.0,
  "cell": [[3.358, 0.000, 0.000], [0.000, 5.190, 0.000], [-1.534, 0.000, 5.534]],
  "species": ["Ta", "Sb", "Sb", "Sb"],
  "fractional_positions": [[0.000, 0.000, 0.000], [0.131, 0.500, 0.767], [0.500, 0.000, 0.500], [0.869, 0.500, 0.233]]
}

***

We find *ii* to be the most stable, with the next structure 279 meV per atom higher.

***

*i*
{
  "formula": "TaSb3",
  "functional": "PBE",
  "state": "relaxed",
  "m_tot_mub_per_fu": 0.5,
  "cell": [[0.000, 3.603, 3.603], [3.603, 0.000, 3.603], [3.603, 3.603, 0.000]],
  "species": ["Ta", "Sb", "Sb", "Sb"],
  "fractional_positions": [[0.000, 0.000, 0.000], [0.250, 0.250, 0.250], [0.500, 0.500, 0.500], [0.750, 0.750, 0.750]]
}

***

*ii*
{
  "formula": "TaSb3",
  "functional": "PBE",
  "state": "relaxed",
  "m_tot_mub_per_fu": 0.0,
  "cell": [[3.231, -3.990, 0.000], [3.231, 3.990, 0.000], [0.000, 0.000, 3.595]],
  "species": ["Ta", "Sb", "Sb", "Sb"],
  "fractional_positions": [[0.000, 0.000, 0.000], [0.000, 0.500, 0.500], [0.500, 0.000, 0.500], [0.500, 0.500, 0.000]]
}

***

*iii*
{
  "formula": "TaSb3",
  "functional": "PBE",
  "state": "relaxed",
  "m_tot_mub_per_fu": 0.0,
  "cell": [[-2.229, 2.229, 4.733], [2.229, -2.229, 4.733], [2.229, 2.229, -4.733]],
  "species": ["Ta", "Sb", "Sb", "Sb"],
  "fractional_positions": [[0.000, 0.000, 0.000], [0.250, 0.750, 0.500], [0.500, 0.500, 0.000], [0.750, 0.250, 0.500]]
}

***

We find *ii* to be the most stable, with the next structure 38 meV per atom higher.

***

*i*
{
  "formula": "TaSb3",
  "functional": "PBE",
  "state": "relaxed",
  "m_tot_mub_per_fu": 0.0,
  "cell": [[3.068, 0.000, 0.000], [0.000, 3.068, 0.000], [0.000, 0.000, 11.591]],
  "species": ["Ta", "Sb", "Sb", "Sb"],
  "fractional_positions": [[0.000, 0.000, 0.000], [0.000, 0.000, 0.500], [0.500, 0.500, 0.186], [0.500, 0.500, 0.814]]
}

***

*ii*
{
  "formula": "TaSb3",
  "functional": "PBE",
  "state": "relaxed",
  "m_tot_mub_per_fu": 0.0,
  "cell": [[3.290, 0.000, 0.000], [-1.645, 2.849, 0.000], [0.000, 0.000, 10.698]],
  "species": ["Ta", "Sb", "Sb", "Sb"],
  "fractional_positions": [[0.000, 0.000, 0.000], [0.000, 0.000, 0.500], [0.333, 0.667, 0.207], [0.333, 0.667, 0.793]]
}

***

*iii*
{
  "formula": "TaSb3",
  "functional": "PBE",
  "state": "relaxed",
  "m_tot_mub_per_fu": 0.0,
  "cell": [[5.069, -1.760, 0.000], [5.069, 1.760, 0.000], [-0.888, 0.000, 5.358]],
  "species": ["Ta", "Sb", "Sb", "Sb"],
  "fractional_positions": [[0.000, 0.000, 0.000], [0.278, 0.278, 0.785], [0.500, 0.500, 0.500], [0.722, 0.722, 0.215]]
}

***

We find *i* to be the most stable, with the next structure 37 meV per atom higher.

***

*i*
{
  "formula": "TaSb3",
  "functional": "PBE",
  "state": "relaxed",
  "m_tot_mub_per_fu": 0.0,
  "cell": [[5.382, 0.000, 0.000], [0.000, 5.382, 0.000], [0.000, 0.000, 5.382]],
  "species": ["Ta", "Sb", "Sb", "Sb"],
  "fractional_positions": [[0.000, 0.000, 0.000], [0.000, 0.000, 0.500], [0.000, 0.500, 0.000], [0.500, 0.000, 0.000]]
}

***

*ii*
{
  "formula": "TaSb3",
  "functional": "PBE",
  "state": "relaxed",
  "m_tot_mub_per_fu": 0.0,
  "cell": [[-1.844, 4.507, 2.938], [1.844, -4.507, 2.938], [1.844, 4.507, -2.938]],
  "species": ["Ta", "Sb", "Sb", "Sb"],
  "fractional_positions": [[0.000, 0.000, 0.000], [0.356, 0.856, 0.500], [0.544, 0.237, 0.307], [0.930, 0.237, 0.693]]
}

***

We find *ii* to be the most stable, with the next structure 382 meV per atom higher.

***

*i*
{
  "formula": "TaSb3",
  "functional": "PBE",
  "state": "relaxed",
  "m_tot_mub_per_fu": 0.0,
  "cell": [[-1.756, 2.309, 6.439], [1.756, -2.309, 6.439], [1.756, 2.309, -6.439]],
  "species": ["Ta", "Sb", "Sb", "Sb"],
  "fractional_positions": [[0.000, 0.000, 0.000], [0.181, 0.681, 0.500], [0.500, 0.500, 0.000], [0.819, 0.319, 0.500]]
}

***

*ii*
{
  "formula": "TaSb3",
  "functional": "PBE",
  "state": "relaxed",
  "m_tot_mub_per_fu": 0.0,
  "cell": [[4.744, 0.000, 0.000], [0.000, 5.779, 0.000], [0.000, 0.000, 7.151]],
  "species": ["Ta", "Ta", "Sb", "Sb", "Sb", "Sb", "Sb", "Sb"],
  "fractional_positions": [[0.250, 0.250, 0.242], [0.750, 0.750, 0.758], [0.250, 0.006, 0.643], [0.250, 0.494, 0.643], [0.250, 0.750, 0.049], [0.750, 0.250, 0.951], [0.750, 0.506, 0.357], [0.750, 0.994, 0.357]]
}

***

*iii*
{
  "formula": "TaSb3",
  "functional": "PBE",
  "state": "relaxed",
  "m_tot_mub_per_fu": 0.0,
  "cell": [[6.637, 0.000, 0.000], [-3.319, 5.748, 0.000], [0.000, 0.000, 5.130]],
  "species": ["Ta", "Ta", "Sb", "Sb", "Sb", "Sb", "Sb", "Sb"],
  "fractional_positions": [[0.333, 0.667, 0.250], [0.667, 0.333, 0.750], [0.183, 0.366, 0.750], [0.183, 0.817, 0.750], [0.366, 0.183, 0.250], [0.634, 0.817, 0.750], [0.817, 0.183, 0.250], [0.817, 0.634, 0.250]]
}

***

We find *ii* to be the most stable, with the next structure 42 meV per atom higher.

***

*i*
{
  "formula": "TaSb3",
  "functional": "PBE",
  "state": "relaxed",
  "m_tot_mub_per_fu": 1.0,
  "cell": [[4.584, 0.000, 0.000], [0.000, 4.584, 0.000], [0.000, 0.000, 4.584]],
  "species": ["Ta", "Sb", "Sb", "Sb"],
  "fractional_positions": [[0.000, 0.000, 0.000], [0.000, 0.500, 0.500], [0.500, 0.000, 0.500], [0.500, 0.500, 0.000]]
}

***

*ii*
{
  "formula": "TaSb3",
  "functional": "PBE",
  "state": "relaxed",
  "m_tot_mub_per_fu": 0.0,
  "cell": [[-2.059, 2.059, 12.482], [2.059, -2.059, 12.482], [2.059, 2.059, -12.482]],
  "species": ["Ta", "Ta", "Sb", "Sb", "Sb", "Sb", "Sb", "Sb"],
  "fractional_positions": [[0.169, 0.169, 0.000], [0.831, 0.831, 0.000], [0.000, 0.500, 0.500], [0.250, 0.750, 0.500], [0.376, 0.376, 0.000], [0.500, 0.000, 0.500], [0.624, 0.624, 0.000], [0.750, 0.250, 0.500]]
}

***

We find *ii* to be the most stable, with the next structure 226 meV per atom higher.

***

*i*
{
  "formula": "TaSb3",
  "functional": "PBE",
  "state": "relaxed",
  "m_tot_mub_per_fu": 0.1,
  "cell": [[6.378, 0.000, 0.000], [-3.189, 5.524, 0.000], [0.000, 0.000, 10.864]],
  "species": ["Ta", "Ta", "Ta", "Ta", "Sb", "Sb", "Sb", "Sb", "Sb", "Sb", "Sb", "Sb", "Sb", "Sb", "Sb", "Sb"],
  "fractional_positions": [[0.000, 0.000, 0.000], [0.000, 0.000, 0.500], [0.333, 0.667, 0.250], [0.667, 0.333, 0.750], [0.000, 0.500, 0.000], [0.000, 0.500, 0.500], [0.157, 0.314, 0.750], [0.157, 0.843, 0.750], [0.314, 0.157, 0.250], [0.500, 0.000, 0.000], [0.500, 0.000, 0.500], [0.500, 0.500, 0.000], [0.500, 0.500, 0.500], [0.686, 0.843, 0.750], [0.843, 0.157, 0.250], [0.843, 0.686, 0.250]]
}

***

*ii*
{
  "formula": "TaSb3",
  "functional": "PBE",
  "state": "relaxed",
  "m_tot_mub_per_fu": 0.0,
  "cell": [[1.951, -2.439, 0.000], [1.951, 2.439, 0.000], [0.000, 0.000, 10.590]],
  "species": ["Ta", "Sb", "Sb", "Sb"],
  "fractional_positions": [[0.000, 0.000, 0.000], [0.000, 0.000, 0.500], [0.500, 0.500, 0.203], [0.500, 0.500, 0.797]]
}

***

We find *ii* to be the most stable, with the next structure 385 meV per atom higher.

***

*i*
{
  "formula": "Ta4Sb",
  "functional": "PBE",
  "state": "relaxed",
  "m_tot_mub_per_fu": 0.0,
  "cell": [[-3.669, 3.669, 1.754], [3.669, -3.669, 1.754], [3.669, 3.669, -1.754]],
  "species": ["Ta", "Ta", "Ta", "Ta", "Sb"],
  "fractional_positions": [[0.101, 0.691, 0.792], [0.309, 0.101, 0.410], [0.691, 0.899, 0.590], [0.899, 0.309, 0.208], [0.500, 0.500, 0.000]]
}

***

*ii*
{
  "formula": "Ta4Sb",
  "functional": "PBE",
  "state": "relaxed",
  "m_tot_mub_per_fu": 0.0,
  "cell": [[4.930, 0.000, 0.000], [0.000, 4.930, 0.000], [0.000, 0.000, 4.930]],
  "species": ["Ta", "Ta", "Ta", "Ta", "Sb"],
  "fractional_positions": [[0.000, 0.000, 0.000], [0.000, 0.500, 0.500], [0.500, 0.000, 0.500], [0.500, 0.500, 0.000], [0.500, 0.500, 0.500]]
}

***

We find *i* to be the most stable, with the next structure 1909 meV per atom higher.

***

*i*
{
  "formula": "Ta4Sb",
  "functional": "PBE",
  "state": "relaxed",
  "m_tot_mub_per_fu": 0.0,
  "cell": [[-3.082, 3.082, 3.082], [3.082, -3.082, 3.082], [3.082, 3.082, -3.082]],
  "species": ["Ta", "Ta", "Ta", "Ta", "Sb"],
  "fractional_positions": [[0.000, 0.000, 0.500], [0.000, 0.500, 0.000], [0.500, 0.000, 0.000], [0.500, 0.500, 0.500], [0.000, 0.000, 0.000]]
}

***

*ii*
{
  "formula": "Ta4Sb",
  "functional": "PBE",
  "state": "relaxed",
  "m_tot_mub_per_fu": 0.0,
  "cell": [[-1.921, 1.921, 7.149], [1.921, -1.921, 7.149], [1.921, 1.921, -7.149]],
  "species": ["Ta", "Ta", "Ta", "Ta", "Sb"],
  "fractional_positions": [[0.102, 0.102, 0.000], [0.250, 0.750, 0.500], [0.750, 0.250, 0.500], [0.898, 0.898, 0.000], [0.500, 0.500, 0.000]]
}

***

We find *ii* to be the most stable, with the next structure 624 meV per atom higher.

***

*i*
{
  "formula": "Ta2TcSb2",
  "functional": "PBE",
  "state": "relaxed",
  "m_tot_mub_per_fu": 1.0,
  "cell": [[-1.964, 1.964, 7.002], [1.964, -1.964, 7.002], [1.964, 1.964, -7.002]],
  "species": ["Ta", "Ta", "Tc", "Sb", "Sb"],
  "fractional_positions": [[0.093, 0.093, 0.000], [0.907, 0.907, 0.000], [0.500, 0.500, 0.000], [0.250, 0.750, 0.500], [0.750, 0.250, 0.500]]
}

***

*ii*
{
  "formula": "Ta2TcSb2",
  "functional": "PBE",
  "state": "relaxed",
  "m_tot_mub_per_fu": 0.0,
  "cell": [[7.255, 0.000, 0.000], [0.000, 7.255, 0.000], [0.000, 0.000, 3.815]],
  "species": ["Ta", "Ta", "Ta", "Ta", "Tc", "Tc", "Sb", "Sb", "Sb", "Sb"],
  "fractional_positions": [[0.140, 0.360, 0.000], [0.360, 0.860, 0.000], [0.640, 0.140, 0.000], [0.860, 0.640, 0.000], [0.000, 0.000, 0.000], [0.500, 0.500, 0.000], [0.164, 0.664, 0.500], [0.336, 0.164, 0.500], [0.664, 0.836, 0.500], [0.836, 0.336, 0.500]]
}

***

We find *ii* to be the most stable, with the next structure 387 meV per atom higher.